1.
MgZnBr | PBE | optimized geometry

Structure (POSCAR):
```
MgZnBr
1.0
4.9679 0.0000 0.0000
2.4840 4.3024 0.0000
2.4840 1.4341 4.0563
Zn Mg Br
1 1 1
Direct
0.7500 0.7500 0.7500
0.5000 0.5000 0.5000
0.0000 0.0000 0.0000
```

Computed properties:
Distance to the lowest polymorph of the same formula ... 453 meV/atom

2.
Tm3CuPb2 | PBE | optimized geometry

Structure (POSCAR):
```
Tm3CuPb2
1.0
4.4561 0.0000 0.0000
0.0000 11.6775 0.0000
0.0000 0.0000 12.0128
Tm Cu Pb
12 4 8
Direct
0.7500 0.5584 0.6317
0.7500 0.2923 0.7717
0.2500 0.7077 0.2283
0.7500 0.2077 0.2717
0.7500 0.6270 0.9411
0.2500 0.1270 0.5589
0.2500 0.3730 0.0589
0.2500 0.7923 0.7283
0.7500 0.9416 0.1317
0.2500 0.4416 0.3683
0.2500 0.0584 0.8683
0.7500 0.8730 0.4411
0.7500 0.6433 0.3649
0.2500 0.1433 0.1351
0.7500 0.8567 0.8649
0.2500 0.3567 0.6351
0.7500 0.5033 0.1844
0.7500 0.1839 0.0060
0.2500 0.4967 0.8156
0.7500 0.9967 0.6844
0.2500 0.6839 0.4940
0.7500 0.3161 0.5060
0.2500 0.8161 0.9940
0.2500 0.0033 0.3156
```

Computed properties:
DFT formation energy ... -2.34 eV/f.u.

3.
SrCaY2Ni | PBE | optimized geometry

Structure (POSCAR):
```
SrCaY2Ni
1.0
5.3657 0.0000 0.0000
0.0000 5.3657 0.0000
0.0000 0.0000 5.9760
Ca Ni Sr Y
1 1 1 2
Direct
0.5000 0.5000 0.5000
0.0000 0.0000 0.0000
0.0000 0.0000 0.5000
0.0000 0.5000 0.0000
0.5000 0.0000 0.0000
```

Computed properties:
Distance to the lowest polymorph of the same formula ... 55 meV/atom
DFT formation energy ... -0.03 eV/f.u.

4.
MgCdSi2 | PBE | optimized geometry

Structure (POSCAR):
```
MgCdSi2
1.0
4.2266 0.0000 0.0000
0.0000 4.2216 0.0000
0.0000 0.0000 4.1323
Si Cd Mg
2 1 1
Direct
0.0000 0.0000 0.0000
0.5000 0.5000 0.0000
0.5000 0.0000 0.5000
0.0000 0.5000 0.5000
```

Computed properties:
Distance to the lowest polymorph of the same formula ... 55 meV/atom

Listing calculated volume for the structures above in their given order: 28.90; 26.05; 34.41; 18.43 A^3/atom.